No. 1
K2TaMn | PBEsol | optimized geometry

Formation energy = 1664 meV/atom
Calculated total energy = -4.481 eV per atom
D(E_F) = 0.505 states/eV/atom

Cell lengths 5.265, 5.265, 5.265 Å; angles 60.00, 60.00, 60.00 degrees
Site moments in Bohr magnetons follow the coordinates.
Atoms (fractional coordinates):
K 0.000 0.000 0.000  -0.07
K 0.250 0.250 0.250  -0.04
Mn 0.500 0.500 0.500  3.71
Ta 0.750 0.750 0.750  -2.06


No. 2
BiSbH3 | PBEsol | optimized geometry

Calculated total energy = -3.106 eV per atom
D(E_F) = 0.420 states/eV/atom

Cell lengths 4.066, 4.066, 4.066 Å; angles 90.00, 90.00, 90.00 degrees
Atoms (fractional coordinates):
Sb 0.000 0.000 0.000
Bi 0.500 0.500 0.500
H 0.000 0.500 0.000
H 0.000 0.000 0.500
H 0.500 0.000 0.000


No. 3
Ca2FeSb | PBEsol | optimized geometry

Calculated total energy = -4.246 eV per atom
E_form (uncorrected) = 0.201 eV/atom
D(E_F) = 0.924 states/eV/atom

Cell lengths 3.512, 3.512, 9.600 Å; angles 79.46, 79.46, 60.00 degrees
Site moments in Bohr magnetons follow the coordinates.
Atoms (fractional coordinates):
Sb 0.000 0.000 0.000  -0.01
Ca 0.243 0.243 0.270  -0.07
Ca 0.757 0.757 0.730  -0.07
Fe 0.500 0.500 0.500  2.71